Entry from Alexandria: a relaxed structure of Pm4Ir2Pt (PBE-GGA).

The structure in POSCAR format:
```
Pm4Ir2Pt
1.0
-4.442 4.442 4.420
4.442 -4.442 4.420
4.442 4.442 -4.420
Pm Ir Pt
8 4 2
Direct
0.005 0.381 0.251
0.130 0.754 0.749
0.131 0.255 0.751
0.246 0.995 0.376
0.504 0.380 0.249
0.619 0.870 0.624
0.620 0.869 0.124
0.745 0.496 0.876
0.247 0.625 0.122
0.375 0.497 0.622
0.503 0.125 0.878
0.875 0.753 0.378
0.000 0.000 0.000
0.750 0.250 0.500
```

## Properties
**E**: -48.2 eV/f.u.
**DFT formation energy**: -0.782 eV/atom

---

Entry from Alexandria: a relaxed structure of YTi3V (PBE-GGA).

The structure in POSCAR format:
```
YTi3V
1.0
4.787 0.000 0.000
0.000 4.787 0.000
0.000 0.000 4.787
Y Ti V
1 3 1
Direct
0.000 0.000 0.000
0.000 0.000 0.500
0.000 0.500 0.000
0.500 0.000 0.000
0.500 0.500 0.500
```

## Properties
**E**: -30.9 eV/f.u.
**DFT formation energy**: 1.666 eV/atom

---

Entry from Alexandria: a relaxed structure of Ba2CdO (PBE-GGA).

The structure in POSCAR format:
```
Ba2CdO
1.0
-3.890 3.890 4.891
3.890 -3.890 4.891
3.890 3.890 -4.891
Ba Cd O
4 2 2
Direct
0.019 0.625 0.894
0.375 0.269 0.394
0.731 0.125 0.106
0.875 0.981 0.606
0.250 0.750 0.500
0.500 0.500 0.000
0.000 0.000 0.000
0.750 0.250 0.500
```

## Properties
**E**: -14.9 eV/f.u.
**Polymorph energy (0 for the lowest one)**: 0.000 eV per formula unit
**Formation energy (no corrections)**: -1.29 eV per atom

---

Entry from Alexandria: a relaxed structure of ReOs2Rh (PBE-GGA).

The structure in POSCAR format:
```
ReOs2Rh
1.0
1.360 -5.574 0.000
1.360 5.574 0.000
0.000 0.000 10.376
Re Os Rh
2 4 2
Direct
0.100 0.900 0.750
0.900 0.100 0.250
0.460 0.540 0.606
0.460 0.540 0.894
0.540 0.460 0.106
0.540 0.460 0.394
0.199 0.801 0.250
0.801 0.199 0.750
```

## Properties
**E**: -38.8 eV/f.u.
**Polymorph energy (0 for the lowest one)**: 3.259 eV per formula unit
**DFT formation energy**: 0.853 eV/atom

---

Entry from Alexandria: a relaxed structure of Ca3TbNd2Se6 (PBE-GGA).

The structure in POSCAR format:
```
Ca3TbNd2Se6
1.0
3.609 -6.244 0.000
3.609 6.244 0.000
-2.410 0.000 6.935
Ca Tb Nd Se
3 1 2 6
Direct
0.000 0.000 0.000
0.331 0.669 0.000
0.669 0.331 0.000
0.500 0.500 0.500
0.166 0.834 0.500
0.834 0.166 0.500
0.089 0.416 0.247
0.259 0.259 0.754
0.416 0.089 0.247
0.584 0.911 0.753
0.741 0.741 0.246
0.911 0.584 0.753
```

## Properties
**E**: -63.8 eV/f.u.
**Formation energy (no corrections)**: -1.90 eV per atom

---

Entry from Alexandria: a relaxed structure of CaYCr2 (PBE-GGA).

The structure in POSCAR format:
```
CaYCr2
1.0
4.953 -1.697 0.000
4.953 1.697 0.000
-1.071 0.000 6.096
Ca Y Cr
1 1 2
Direct
0.000 0.000 0.000
0.500 0.500 0.500
0.247 0.247 0.726
0.753 0.753 0.274
```

## Properties
**E**: -24.4 eV/f.u.
**DFT formation energy**: 0.829 eV/atom

---

Entry from Alexandria: a relaxed structure of K3Tb3GeTe8 (PBE-GGA).

The structure in POSCAR format:
```
K3Tb3GeTe8
1.0
7.592 -4.390 0.000
7.592 4.390 0.000
-5.058 0.000 8.510
K Tb Ge Te
3 3 1 8
Direct
0.000 0.000 0.000
0.000 0.500 0.000
0.500 0.000 0.000
0.000 0.500 0.500
0.500 0.000 0.500
0.500 0.500 0.500
0.000 0.000 0.500
0.225 0.225 0.698
0.225 0.748 0.698
0.252 0.775 0.302
0.263 0.263 0.289
0.737 0.737 0.711
0.748 0.225 0.698
0.775 0.252 0.302
0.775 0.775 0.302
```

## Properties
**E**: -62.7 eV/f.u.
**Formation energy (no corrections)**: -1.05 eV per atom

---

Entry from Alexandria: a relaxed structure of TlSbMo3 (PBE-GGA).

The structure in POSCAR format:
```
TlSbMo3
1.0
4.929 0.000 0.000
0.000 4.929 0.000
0.000 0.000 4.929
Tl Sb Mo
1 1 3
Direct
0.000 0.000 0.000
0.500 0.500 0.500
0.000 0.500 0.500
0.500 0.000 0.500
0.500 0.500 0.000
```

## Properties
**E**: -29.7 eV/f.u.
**Polymorph energy (0 for the lowest one)**: 0.000 eV per formula unit
**Formation energy (no corrections)**: 1.85 eV per atom

---

Entry from Alexandria: a relaxed structure of TmLuCoIr (PBE-GGA).

The structure in POSCAR format:
```
TmLuCoIr
1.0
0.000 3.330 3.330
3.330 0.000 3.330
3.330 3.330 0.000
Tm Lu Co Ir
1 1 1 1
Direct
0.000 0.000 0.000
0.500 0.500 0.500
0.750 0.750 0.750
0.250 0.250 0.250
```

## Properties
**E**: -27.5 eV/f.u.
**DFT formation energy**: -0.623 eV/atom

---

Entry from Alexandria: a relaxed structure of TbPr2Sc (PBE-GGA).

The structure in POSCAR format:
```
TbPr2Sc
1.0
1.793 1.035 11.502
-1.793 1.035 11.502
0.000 -2.071 11.502
Tb Pr Sc
1 2 1
Direct
0.000 0.000 0.000
0.246 0.246 0.246
0.419 0.419 0.419
0.832 0.832 0.832
```

## Properties
**E**: -20.3 eV/f.u.
**Polymorph energy (0 for the lowest one)**: 0.086 eV per formula unit
**DFT formation energy**: 0.062 eV/atom

---

Entry from Alexandria: a relaxed structure of ScRe2F (PBE-GGA).

The structure in POSCAR format:
```
ScRe2F
1.0
0.000 3.135 3.135
3.135 0.000 3.135
3.135 3.135 0.000
Sc Re F
1 2 1
Direct
0.000 0.000 0.000
0.250 0.250 0.250
0.750 0.750 0.750
0.500 0.500 0.500
```

## Properties
**E**: -29.4 eV/f.u.
**Polymorph energy (0 for the lowest one)**: 0.311 eV per formula unit
**Formation energy (no corrections)**: 0.93 eV per atom

---

Entry from Alexandria: a relaxed structure of Pm3Sm4Pb4 (PBE-GGA).

The structure in POSCAR format:
```
Pm3Sm4Pb4
1.0
-1.888 2.642 17.720
1.888 -2.642 17.720
1.888 2.642 -17.720
Pm Sm Pb
3 4 4
Direct
0.000 0.000 0.000
0.353 0.853 0.500
0.647 0.147 0.500
0.093 0.593 0.500
0.263 0.263 0.000
0.737 0.737 0.000
0.907 0.407 0.500
0.183 0.683 0.500
0.453 0.453 0.000
0.547 0.547 0.000
0.817 0.317 0.500
```

## Properties
**E**: -50.8 eV/f.u.
**DFT formation energy**: -0.255 eV/atom

---

Entry from Alexandria: a relaxed structure of LiErAg (PBE-GGA).

The structure in POSCAR format:
```
LiErAg
1.0
4.631 0.000 0.000
-2.315 4.010 0.000
0.000 0.000 3.465
Li Er Ag
1 1 1
Direct
0.000 0.000 0.000
0.667 0.333 0.500
0.333 0.667 0.000
```

## Properties
**E**: -9.7 eV/f.u.
**Polymorph energy (0 for the lowest one)**: 0.206 eV per formula unit
**DFT formation energy**: -0.123 eV/atom

---

Entry from Alexandria: a relaxed structure of Pr3Th3ScSe8 (PBE-GGA).

The structure in POSCAR format:
```
Pr3Th3ScSe8
1.0
4.180 2.413 6.919
-4.180 2.413 6.919
0.000 -4.826 6.919
Pr Th Sc Se
3 3 1 8
Direct
0.000 0.500 0.500
0.500 0.000 0.500
0.500 0.500 0.000
0.000 0.000 0.500
0.000 0.500 0.000
0.500 0.000 0.000
0.500 0.500 0.500
0.249 0.249 0.249
0.257 0.740 0.740
0.260 0.260 0.743
0.260 0.743 0.260
0.740 0.257 0.740
0.740 0.740 0.257
0.743 0.260 0.260
0.751 0.751 0.751
```

## Properties
**E**: -96.4 eV/f.u.
**Formation energy (no corrections)**: -1.71 eV per atom

---

Entry from Alexandria: a relaxed structure of HfNi2Cl (PBE-GGA).

The structure in POSCAR format:
```
HfNi2Cl
1.0
0.000 3.133 3.133
3.133 0.000 3.133
3.133 3.133 0.000
Hf Ni Cl
1 2 1
Direct
0.000 0.000 0.000
0.250 0.250 0.250
0.750 0.750 0.750
0.500 0.500 0.500
```

## Properties
**E**: -22.3 eV/f.u.
**Polymorph energy (0 for the lowest one)**: 1.333 eV per formula unit
**Formation energy (no corrections)**: 0.28 eV per atom

---

no.,DOS at the Fermi energy (states/eV/f.u.)
1,1.88
2,9.53
3,1.17
4,3.72
5,4.54
6,5.60
7,5.32
8,8.23
9,1.85
10,5.83
11,5.18
12,12.71
13,1.73
14,12.21
15,5.27